The following is a DFT calculation (PBE) of a geometry-optimized Cs3Np2Br9 structure.

Properties
Formation energy (no corrections) (eV/atom): -1.567

Lattice parameters (Å, degrees): 14.0739 14.0739 20.2060 90.00 90.00 120.00
Space group R-3c (No. 167, hexagonal axes)
Asymmetric unit:
Cs 0.0000 0.3403 0.2500 [18 per cell]
Np 0.0000 0.0000 0.1525 [12 per cell]
Br 0.0000 0.1568 0.7500 [18 per cell]
Br 0.0083 0.1805 0.4128 [36 per cell]

=====

The following is a DFT calculation (PBE) of a geometry-optimized ThPdS3 structure.

Properties
Formation energy (no corrections) (eV/atom): -1.275

Lattice parameters (Å, degrees): 4.2160 8.3103 6.0891 90.00 96.81 90.00
Space group P2_1/m (No. 11)
Asymmetric unit:
Th 0.2411 0.2500 0.4860 [2 per cell]
Pd 0.0000 0.0000 0.0000 [2 per cell]
S 0.1701 0.7500 0.1729 [2 per cell]
S 0.2952 0.5532 0.7023 [4 per cell]

=====

The following is a DFT calculation (PBE) of a geometry-optimized YZr3Te structure.

Properties
Energy above the lowest structure with this stoichiometry (kJ per mole of atoms): 90.58
Formation energy (no corrections) (eV/atom): 1.234

Lattice parameters (Å, degrees): 5.2324 5.2324 5.2324 90.00 90.00 90.00
Space group Pm-3m (No. 221)
Asymmetric unit:
Y 0.0000 0.0000 0.0000 [1 per cell]
Zr 0.0000 0.0000 0.5000 [3 per cell]
Te 0.5000 0.5000 0.5000 [1 per cell]

=====

The following is a DFT calculation (PBE) of a geometry-optimized CaSb2P structure.

Properties
Formation energy (no corrections) (eV/atom): -0.328

Lattice parameters (Å, degrees): 4.7352 4.1063 5.9763 90.00 108.54 90.00
Space group Pm (No. 6)
Asymmetric unit:
Ca 0.0000 0.0000 0.0000 [1 per cell]
Sb 0.4254 0.0000 0.5417 [1 per cell]
Sb 0.6640 0.5000 0.2623 [1 per cell]
P 0.3272 0.5000 0.8321 [1 per cell]

=====

The following is a DFT calculation (PBE) of a geometry-optimized Ba2NaZn structure.

Properties
Calculated formation energy (eV/atom): 0.100

Lattice parameters (Å, degrees): 4.3279 4.3279 37.2136 90.00 90.00 120.00
Space group R-3m (No. 166, hexagonal axes)
Asymmetric unit:
Ba 0.0000 0.0000 0.1060 [6 per cell]
Na 0.0000 0.0000 0.0000 [3 per cell]
Zn 0.0000 0.0000 0.5000 [3 per cell]

=====

The following is a DFT calculation (PBE) of a geometry-optimized Li2Si2Bi structure.

Properties
Energy above the lowest structure with this stoichiometry (kJ per mole of atoms): 0.00
Formation energy (no corrections) (eV/atom): 0.007

Lattice parameters (Å, degrees): 7.6220 7.6220 3.2608 90.00 90.00 90.00
Space group P4/mbm (No. 127)
Asymmetric unit:
Li 0.1838 0.3162 0.0000 [4 per cell]
Si 0.1092 0.6092 0.5000 [4 per cell]
Bi 0.0000 0.0000 0.5000 [2 per cell]

=====

The following is a DFT calculation (PBE) of a geometry-optimized Tb6Pm3Dy2 structure.

Properties
Energy above the lowest structure with this stoichiometry (kJ per mole of atoms): 11.71
Calculated formation energy (eV/atom): 0.274

Lattice parameters (Å, degrees): 4.7619 4.7619 33.3153 90.00 90.00 90.00
Space group I4/mmm (No. 139)
Asymmetric unit:
Tb 0.0000 0.0000 0.1948 [4 per cell]
Tb 0.0000 0.5000 0.1203 [8 per cell]
Pm 0.0000 0.0000 0.2983 [4 per cell]
Pm 0.0000 0.0000 0.5000 [2 per cell]
Dy 0.0000 0.0000 0.0459 [4 per cell]

=====

The following is a DFT calculation (PBE) of a geometry-optimized BaTlPbS3 structure.

Properties
Formation energy (no corrections) (eV/atom): -0.841

Lattice parameters (Å, degrees): 8.8997 4.3549 10.2384 90.00 97.07 90.00
Space group P2_1/m (No. 11)
Asymmetric unit:
Ba 0.1605 0.2500 0.1876 [2 per cell]
Tl 0.1414 0.2500 0.6002 [2 per cell]
Pb 0.3596 0.7500 0.8691 [2 per cell]
S 0.1149 0.2500 0.8719 [2 per cell]
S 0.1835 0.7500 0.4392 [2 per cell]
S 0.4063 0.7500 0.1314 [2 per cell]

=====

The following is a DFT calculation (PBE) of a geometry-optimized Pm2Pr2SmY2 structure.

Properties
Calculated formation energy (eV/atom): 0.126

Lattice parameters (Å, degrees): 5.8165 5.8165 24.5908 90.00 90.00 120.00
Space group R-3m (No. 166, hexagonal axes)
Asymmetric unit:
Pm 0.0000 0.0000 0.2219 [6 per cell]
Pr 0.0000 0.0000 0.3614 [6 per cell]
Sm 0.0000 0.0000 0.5000 [3 per cell]
Y 0.0000 0.0000 0.0756 [6 per cell]

=====

The following is a DFT calculation (PBE) of a geometry-optimized Fe2BH2 structure.

Properties
DFT total energy (eV/atom): -6.016

Lattice parameters (Å, degrees): 2.5936 2.5936 9.3932 90.00 90.00 90.00
Space group I4/mmm (No. 139)
Asymmetric unit:
Fe 0.0000 0.0000 0.1264 [4 per cell]
B 0.0000 0.0000 0.5000 [2 per cell]
H 0.0000 0.5000 0.2500 [4 per cell]

=====

The following is a DFT calculation (PBE) of a geometry-optimized PmNdHg4 structure.

Properties
Energy above the lowest structure with this stoichiometry (kJ per mole of atoms): 10.80
Calculated formation energy (eV/atom): -0.253

Lattice parameters (Å, degrees): 4.6438 4.6347 8.6280 90.00 90.05 90.00
Space group P2/m (No. 10)
Asymmetric unit:
Pm 0.0000 0.0000 0.0000 [1 per cell]
Nd 0.5000 0.5000 0.5000 [1 per cell]
Hg 0.9998 0.5000 0.2483 [2 per cell]
Hg 0.5002 0.0000 0.2477 [2 per cell]

=====

The following is a DFT calculation (PBE) of a geometry-optimized NbBrCl2 structure.

Properties
Energy above the lowest structure with this stoichiometry (kJ per mole of atoms): 26.57
Formation energy (no corrections) (eV/atom): -0.666

Lattice parameters (Å, degrees): 3.1903 3.1903 33.6351 90.00 90.00 120.00
Space group R-3m (No. 166, hexagonal axes)
Asymmetric unit:
Nb 0.0000 0.0000 0.0000 [3 per cell]
Br 0.0000 0.0000 0.5000 [3 per cell]
Cl 0.0000 0.0000 0.3857 [6 per cell]

=====

The following is a DFT calculation (PBE) of a geometry-optimized LiPb structure.

Properties
Calculated formation energy (eV/atom): -0.179

Lattice parameters (Å, degrees): 6.8891 6.8891 3.4151 90.00 90.00 120.00
Space group P-62m (No. 189)
Asymmetric unit:
Li 0.0000 0.2448 0.0000 [3 per cell]
Pb 0.0000 0.5856 0.5000 [3 per cell]

=====

The following is a DFT calculation (PBE) of a geometry-optimized La2OsAu structure.

Properties
Calculated formation energy (eV/atom): -0.070

Lattice parameters (Å, degrees): 4.4944 4.4944 21.1923 90.00 90.00 120.00
Space group R3m (No. 160, hexagonal axes)
Asymmetric unit:
La 0.0000 0.0000 0.0000 [3 per cell]
La 0.0000 0.0000 0.1755 [3 per cell]
Os 0.0000 0.0000 0.4207 [3 per cell]
Au 0.0000 0.0000 0.7543 [3 per cell]

=====

The following is a DFT calculation (PBE) of a geometry-optimized Ca2POs structure.

Properties
Calculated formation energy (eV/atom): 0.067

Lattice parameters (Å, degrees): 4.4169 4.4169 4.0206 90.00 90.00 90.00
Space group P4/mmm (No. 123)
Asymmetric unit:
Ca 0.0000 0.5000 0.0000 [2 per cell]
P 0.0000 0.0000 0.5000 [1 per cell]
Os 0.5000 0.5000 0.5000 [1 per cell]

=====

The following is a DFT calculation (PBE) of a geometry-optimized SrCd3Si structure.

Properties
Energy above the lowest structure with this stoichiometry (kJ per mole of atoms): 97.28
Formation energy (no corrections) (eV/atom): 1.107

Lattice parameters (Å, degrees): 6.3712 6.3712 6.3712 90.00 90.00 90.00
Space group Pm-3m (No. 221)
Asymmetric unit:
Sr 0.0000 0.0000 0.0000 [1 per cell]
Cd 0.0000 0.0000 0.5000 [3 per cell]
Si 0.5000 0.5000 0.5000 [1 per cell]

=====

The following is a DFT calculation (PBE) of a geometry-optimized VCu3Os structure.

Properties
Energy above the lowest structure with this stoichiometry (kJ per mole of atoms): 0.00
Calculated formation energy (eV/atom): 1.518

Lattice parameters (Å, degrees): 4.5944 4.5944 4.5944 90.00 90.00 90.00
Space group Pm-3m (No. 221)
Asymmetric unit:
V 0.0000 0.0000 0.0000 [1 per cell]
Cu 0.0000 0.5000 0.5000 [3 per cell]
Os 0.5000 0.5000 0.5000 [1 per cell]

=====

The following is a DFT calculation (PBE) of a geometry-optimized Pa2Si7Ir12 structure.

Properties
Formation energy (no corrections) (eV/atom): -0.800

Lattice parameters (Å, degrees): 9.8161 9.8161 3.8784 90.00 90.00 120.00
Space group P-6 (No. 174)
Asymmetric unit:
Pa 0.0000 0.0000 0.0000 [1 per cell]
Pa 0.3333 0.6667 0.5000 [1 per cell]
Si 0.0676 0.4444 0.0000 [3 per cell]
Si 0.2662 0.2248 0.5000 [3 per cell]
Si 0.6667 0.3333 0.0000 [1 per cell]
Ir 0.0462 0.2633 0.5000 [3 per cell]
Ir 0.1165 0.7120 0.0000 [3 per cell]
Ir 0.3933 0.1850 0.0000 [3 per cell]
Ir 0.5243 0.4558 0.5000 [3 per cell]

=====

The following is a DFT calculation (PBE) of a geometry-optimized Pr6Si2C structure.

Properties
Energy above the lowest structure with this stoichiometry (kJ per mole of atoms): 0.00
Formation energy (no corrections) (eV/atom): -0.344

Lattice parameters (Å, degrees): 6.4592 8.1371 11.4163 90.00 122.28 90.00
Space group P2_1/c (No. 14)
Asymmetric unit:
Pr 0.1122 0.1589 0.4452 [4 per cell]
Pr 0.3081 0.7048 0.4462 [4 per cell]
Pr 0.3618 0.0357 0.2459 [4 per cell]
Si 0.1919 0.1136 0.7575 [4 per cell]
C 0.5000 0.0000 0.5000 [2 per cell]

=====

The following is a DFT calculation (PBE) of a geometry-optimized LiCo2Mo structure.

Properties
Energy above the lowest structure with this stoichiometry (kJ per mole of atoms): 7.93
Calculated formation energy (eV/atom): 0.228

Lattice parameters (Å, degrees): 3.4015 3.5620 7.7626 90.00 90.00 90.00
Space group Imm2 (No. 44)
Asymmetric unit:
Li 0.0000 0.0000 0.0000 [2 per cell]
Co 0.0000 0.0000 0.4991 [2 per cell]
Co 0.0000 0.5000 0.2517 [2 per cell]
Mo 0.0000 0.5000 0.7524 [2 per cell]

=====

The following is a DFT calculation (PBE) of a geometry-optimized Er2CdHg structure.

Properties
Energy above the lowest structure with this stoichiometry (kJ per mole of atoms): 0.00
Calculated formation energy (eV/atom): -0.396

Lattice parameters (Å, degrees): 3.7068 3.7068 7.3754 90.00 90.00 90.00
Space group P4/mmm (No. 123)
Asymmetric unit:
Er 0.0000 0.0000 0.2470 [2 per cell]
Cd 0.5000 0.5000 0.5000 [1 per cell]
Hg 0.5000 0.5000 0.0000 [1 per cell]

=====

The following is a DFT calculation (PBE) of a geometry-optimized Nb3BTe structure.

Properties
Energy above the lowest structure with this stoichiometry (kJ per mole of atoms): 215.43
Formation energy (no corrections) (eV/atom): 2.317

Lattice parameters (Å, degrees): 5.0026 5.0026 5.0026 90.00 90.00 90.00
Space group Pm-3m (No. 221)
Asymmetric unit:
Nb 0.0000 0.0000 0.5000 [3 per cell]
B 0.5000 0.5000 0.5000 [1 per cell]
Te 0.0000 0.0000 0.0000 [1 per cell]

=====

The following is a DFT calculation (PBE) of a geometry-optimized LaPuIr2 structure.

Properties
Calculated formation energy (eV/atom): -0.472

Lattice parameters (Å, degrees): 3.4760 3.4760 7.1807 90.00 90.00 90.00
Space group P4/mmm (No. 123)
Asymmetric unit:
La 0.0000 0.0000 0.0000 [1 per cell]
Pu 0.0000 0.0000 0.5000 [1 per cell]
Ir 0.5000 0.5000 0.2795 [2 per cell]

=====

The following is a DFT calculation (PBE) of a geometry-optimized RbBaF structure.

Properties
Energy above the lowest structure with this stoichiometry (kJ per mole of atoms): 0.00
Formation energy (no corrections) (eV/atom): -1.845

Lattice parameters (Å, degrees): 4.5903 4.5903 14.5705 90.00 90.00 90.00
Space group P4/nmm (No. 129, origin choice 2)
Asymmetric unit:
Rb 0.2500 0.2500 0.1390 [2 per cell]
Ba 0.2500 0.2500 0.5976 [2 per cell]
F 0.2500 0.7500 0.5000 [2 per cell]

=====

The following is a DFT calculation (PBE) of a geometry-optimized NbFeSeBr2 structure.

Properties
Energy above the lowest structure with this stoichiometry (kJ per mole of atoms): 27.20
Formation energy (no corrections) (eV/atom): 0.666

Lattice parameters (Å, degrees): 4.8480 4.8480 4.6477 90.00 90.00 90.00
Space group P4/mmm (No. 123)
Asymmetric unit:
Nb 0.0000 0.0000 0.0000 [1 per cell]
Fe 0.5000 0.5000 0.5000 [1 per cell]
Se 0.5000 0.5000 0.0000 [1 per cell]
Br 0.0000 0.5000 0.5000 [2 per cell]